# 1
Computed, not measured: a relaxed RbSeO crystal at the PBE level of DFT.

## Properties
- symmetry = Pmm2
- DOS(E_F) (states/eV/f.u.) = 1.70
- distance to the lowest polymorph of the same formula (meV/atom) = 275.2
- E_tot (Ry per atom) = -0.2953
- energy relative to the elements, uncorrected (eV/f.u.) = -2.643

The structure in extended XYZ format:
```
3
Lattice="3.458 0.000 0.000 0.000 4.524 0.000 0.000 0.000 4.767" Properties=species:S:1:pos:R:3 pbc="T T T"
Rb 0.000 0.000 0.000
Se 1.729 2.262 2.332
O 1.729 2.262 0.569
```



# 2
Computed, not measured: a relaxed RbSeO4 crystal at the PBE level of DFT.

## Properties
- symmetry = C2/c
- DOS(E_F) (states/eV/f.u.) = 7.16
- E_tot (Ry per atom) = -0.3590
- energy relative to the elements, uncorrected (eV/f.u.) = -5.018

The structure in extended XYZ format:
```
12
Lattice="4.082 -6.960 0.000 4.082 6.960 0.000 -4.077 0.000 4.089" Properties=species:S:1:pos:R:3 pbc="T T T"
Rb 1.025 5.225 3.066
Rb 3.063 -5.225 1.022
Se 3.063 1.744 1.022
Se 1.025 -1.744 3.066
O -1.676 0.806 3.890
O 1.842 2.682 1.683
O 0.363 -0.806 1.846
O 4.284 2.682 0.361
O -0.196 -2.682 3.727
O 3.725 0.806 2.243
O 2.246 -2.682 2.406
O 5.763 -0.806 0.199
```



# 3
Computed, not measured: a relaxed RbSe2O crystal at the PBE level of DFT.

## Properties
- symmetry = I4_1/amd
- DOS(E_F) (states/eV/f.u.) = 0.73
- E_tot (Ry per atom) = -0.2722
- energy relative to the elements, uncorrected (eV/f.u.) = -1.919

The structure in extended XYZ format:
```
8
Lattice="-2.910 2.910 6.300 2.910 -2.910 6.300 2.910 2.910 -6.300" Properties=species:S:1:pos:R:3 pbc="T T T"
Rb 2.910 1.455 1.575
Rb 0.000 1.455 4.725
Se 0.000 0.000 0.000
Se 1.455 1.455 -3.150
Se 1.455 -1.455 3.150
Se 0.000 2.910 0.000
O 2.910 -1.455 4.725
O 0.000 4.365 1.575
```



# 4
Computed, not measured: a relaxed Rb6Se2O crystal at the PBE level of DFT.

## Properties
- symmetry = P2_1/c
- distance to the lowest polymorph of the same formula (meV/atom) = 0.0
- E_tot (Ry per atom) = -0.2180
- energy relative to the elements, uncorrected (eV/f.u.) = -8.967

The structure in extended XYZ format:
```
18
Lattice="7.439 0.000 0.000 0.000 8.985 0.000 -6.981 0.000 10.790" Properties=species:S:1:pos:R:3 pbc="T T T"
Rb -2.060 1.308 4.863
Rb -5.551 3.184 10.258
Rb -0.864 6.434 4.821
Rb -4.355 7.044 10.216
Rb 0.801 0.282 2.811
Rb -2.689 4.210 8.206
Rb 3.147 4.775 2.584
Rb -0.343 8.703 7.979
Rb 4.813 1.941 0.574
Rb 1.322 2.551 5.970
Rb 6.009 5.801 0.533
Rb 2.518 7.677 5.928
Se -3.657 0.911 8.198
Se -0.167 3.581 2.803
Se 0.624 5.404 7.987
Se 4.115 8.074 2.592
O 0.229 0.000 5.395
O 3.719 4.493 0.000
```



# 5
Computed, not measured: a relaxed Rb3SeO4 crystal at the PBE level of DFT.

## Properties
- symmetry = Pmn2_1
- DOS(E_F) (states/eV/f.u.) = 0.83
- E_tot (Ry per atom) = -0.3330
- energy relative to the elements, uncorrected (eV/f.u.) = -10.021

The structure in extended XYZ format:
```
16
Lattice="10.839 0.000 0.000 0.000 5.692 0.000 0.000 0.000 5.686" Properties=species:S:1:pos:R:3 pbc="T T T"
Rb 0.000 1.331 0.000
Rb 2.713 1.443 2.875
Rb 2.706 4.248 0.032
Rb 5.419 4.361 2.843
Rb 8.126 1.443 2.875
Rb 8.133 4.248 0.032
Se 0.000 3.990 2.609
Se 5.419 1.702 5.453
O 0.000 2.271 2.859
O 0.000 4.149 0.880
O 1.812 4.354 2.944
O 3.607 1.338 0.101
O 5.419 1.543 3.723
O 5.419 3.420 0.015
O 7.231 1.338 0.101
O 9.027 4.354 2.944
```



# 6
Computed, not measured: a relaxed RbSe2O crystal at the PBE level of DFT.

## Properties
- symmetry = R-3m
- DOS(E_F) (states/eV/f.u.) = 4.15
- E_tot (Ry per atom) = -0.2486
- energy relative to the elements, uncorrected (eV/f.u.) = -0.636

The structure in extended XYZ format:
```
4
Lattice="2.893 1.670 5.685 -2.893 1.670 5.685 0.000 -3.340 5.685" Properties=species:S:1:pos:R:3 pbc="T T T"
Rb 0.000 0.000 0.000
Se 0.000 0.000 6.716
Se 0.000 0.000 10.338
O 0.000 0.000 8.527
```



# 7
Computed, not measured: a relaxed Rb2SeO2 crystal at the PBE level of DFT.

## Properties
- symmetry = P4/mbm
- DOS(E_F) (states/eV/f.u.) = 3.11
- distance to the lowest polymorph of the same formula (meV/atom) = 23.8
- E_tot (Ry per atom) = -0.2325
- energy relative to the elements, uncorrected (eV/f.u.) = -0.479

The structure in extended XYZ format:
```
10
Lattice="8.723 0.000 0.000 0.000 8.723 0.000 0.000 0.000 3.162" Properties=species:S:1:pos:R:3 pbc="T T T"
Rb 1.247 3.114 0.000
Rb 3.114 7.475 0.000
Rb 5.608 1.247 0.000
Rb 7.475 5.608 0.000
Se 0.000 0.000 0.000
Se 4.361 4.361 0.000
O 1.372 5.733 1.581
O 2.990 1.372 1.581
O 5.733 7.351 1.581
O 7.351 2.990 1.581
```



# 8
Computed, not measured: a relaxed Rb2Se2O7 crystal at the PBE level of DFT.

## Properties
- symmetry = C2/c
- DOS(E_F) (states/eV/f.u.) = 0.00
- distance to the lowest polymorph of the same formula (meV/atom) = 0.0
- E_tot (Ry per atom) = -0.3729
- energy relative to the elements, uncorrected (eV/f.u.) = -12.195

The structure in extended XYZ format:
```
22
Lattice="6.825 -3.993 0.000 6.825 3.993 0.000 -0.269 0.000 7.957" Properties=species:S:1:pos:R:3 pbc="T T T"
Rb 4.674 2.765 5.134
Rb 8.574 2.765 6.801
Rb 4.808 -2.765 1.156
Rb 8.708 -2.765 2.823
Se 5.386 1.462 1.112
Se 8.130 1.462 2.866
Se 5.252 -1.462 5.090
Se 7.996 -1.462 6.845
O 4.622 2.409 2.232
O 5.798 2.375 7.872
O 7.450 2.375 4.063
O 4.499 0.173 0.614
O 4.365 -0.173 4.593
O 8.894 2.409 1.747
O 6.758 0.590 1.989
O 6.624 -0.590 5.967
O 4.488 -2.409 6.210
O 9.017 0.173 3.364
O 8.883 -0.173 7.342
O 5.932 -2.375 3.894
O 7.584 -2.375 0.084
O 8.760 -2.409 5.725
```